Record 1
Below is a geometry-optimized YTm3Tc structure, with properties calculated at the PBE level.

Unit cell a=4.700 b=8.205 c=7.095 alpha=90.00 beta=90.00 gamma=90.00
Atoms (fractional coordinates):
Y  0.250  0.250  0.069
Y  0.750  0.750  0.931
Tm  0.250  0.550  0.675
Tm  0.250  0.750  0.271
Tm  0.250  0.950  0.675
Tm  0.750  0.050  0.325
Tm  0.750  0.250  0.729
Tm  0.750  0.450  0.325
Tc  0.250  0.250  0.474
Tc  0.750  0.750  0.526

Properties
ΔE to the lowest computed polymorph = 0.005 eV/atom
density = 8.4 g cm⁻³
calculated formation energy = -0.0279 eV/atom
symmetry = Pmmn, No. 59

Record 2
Below is a geometry-optimized BaCaZnP2 structure, with properties calculated at the PBE level.

Unit cell a=7.428 b=5.154 c=7.963 alpha=90.00 beta=103.65 gamma=90.00
Atoms (fractional coordinates):
Ba  0.000  0.215  0.250
Ba  0.000  0.785  0.750
Ca  0.500  0.475  0.750
Ca  0.500  0.525  0.250
Zn  0.500  0.000  0.000
Zn  0.500  0.000  0.500
P  0.257  0.266  0.960
P  0.257  0.734  0.460
P  0.743  0.266  0.540
P  0.743  0.734  0.040

Properties
density = 3.4 g cm⁻³
calculated formation energy = -0.8312 eV/atom
symmetry = P2/c, No. 13

Record 3
Below is a geometry-optimized MnTe2PdN structure, with properties calculated at the PBE level.

Unit cell a=5.250 b=5.250 c=3.420 alpha=90.00 beta=90.00 gamma=90.00
Atoms (fractional coordinates):
Mn  0.000  0.000  0.000
Te  0.000  0.500  0.000
Te  0.500  0.000  0.000
Pd  0.500  0.500  0.500
N  0.000  0.000  0.500

Properties
E_form (uncorrected) = 0.154 eV per atom
ΔE to the lowest computed polymorph = 0.000 eV/atom
density = 7.6 g cm⁻³
symmetry = P4/mmm, No. 123

Record 4
Below is a geometry-optimized Mg2NbBr structure, with properties calculated at the PBE level.

Unit cell a=5.087 b=5.087 c=5.087 alpha=60.00 beta=60.00 gamma=60.00
Atoms (fractional coordinates):
Mg  0.250  0.250  0.250
Mg  0.750  0.750  0.750
Nb  0.000  0.000  0.000
Br  0.500  0.500  0.500

Properties
E_form (uncorrected) = 0.720 eV per atom
ΔE to the lowest computed polymorph = 0.233 eV/atom
density = 4.0 g cm⁻³
symmetry = Fm-3m, No. 225

Record 5
Below is a geometry-optimized HgRu2S structure, with properties calculated at the PBE level.

Unit cell a=5.644 b=5.644 c=5.644 alpha=105.97 beta=105.97 gamma=116.74
Atoms (fractional coordinates):
Hg  0.000  0.000  0.000
Hg  0.750  0.250  0.500
Ru  0.205  0.625  0.080
Ru  0.375  0.455  0.580
Ru  0.545  0.125  0.920
Ru  0.875  0.795  0.420
S  0.250  0.750  0.500
S  0.500  0.500  0.000

Properties
E_form (uncorrected) = 0.344 eV per atom
ΔE to the lowest computed polymorph = 0.000 eV/atom
density = 10.6 g cm⁻³
symmetry = I-42d, No. 122

Record 6
Below is a geometry-optimized Dy3Ge3Ru2 structure, with properties calculated at the PBE level.

Unit cell a=5.835 b=5.835 c=13.966 alpha=90.00 beta=90.00 gamma=137.08
Atoms (fractional coordinates):
Dy  0.078  0.922  0.613
Dy  0.078  0.922  0.887
Dy  0.354  0.646  0.750
Dy  0.646  0.354  0.250
Dy  0.922  0.078  0.113
Dy  0.922  0.078  0.387
Ge  0.335  0.665  0.250
Ge  0.384  0.616  0.541
Ge  0.384  0.616  0.959
Ge  0.616  0.384  0.041
Ge  0.616  0.384  0.459
Ge  0.665  0.335  0.750
Ru  0.214  0.786  0.082
Ru  0.214  0.786  0.418
Ru  0.786  0.214  0.582
Ru  0.786  0.214  0.918

Properties
ΔE to the lowest computed polymorph = 0.000 eV/atom
density = 9.3 g cm⁻³
calculated formation energy = -0.7783 eV/atom
symmetry = Cmcm, No. 63

Record 7
Below is a geometry-optimized Pr2AuC structure, with properties calculated at the PBE level.

Unit cell a=7.842 b=7.842 c=7.842 alpha=28.21 beta=28.21 gamma=28.21
Atoms (fractional coordinates):
Pr  0.230  0.230  0.230
Pr  0.770  0.770  0.770
Au  0.000  0.000  0.000
C  0.500  0.500  0.500

Properties
density = 8.6 g cm⁻³
calculated formation energy = -0.3138 eV/atom
symmetry = R-3m, No. 166

Record 8
Below is a geometry-optimized Ba3IrW structure, with properties calculated at the PBE level.

Unit cell a=6.014 b=6.014 c=6.014 alpha=90.00 beta=90.00 gamma=90.00
Atoms (fractional coordinates):
Ba  0.000  0.000  0.500
Ba  0.000  0.500  0.000
Ba  0.500  0.000  0.000
Ir  0.000  0.000  0.000
W  0.500  0.500  0.500

Properties
ΔE to the lowest computed polymorph = 0.000 eV/atom
density = 6.0 g cm⁻³
calculated formation energy = 1.0297 eV/atom
symmetry = Pm-3m, No. 221

Magnetic moment (computed, Bohr magnetons per cell): 0.00, 0.00, 1.15, 2.91, 0.00, 0.00, 0.00, 4.95
Volume (computed, Å³/cell): 274, 296, 94, 93, 137, 324, 95, 218
Final energy (computed, eV per cell): -60.77, -40.35, -28.20, -12.05, -43.21, -104.87, -23.32, -22.43